1.
## Tb2NdRh2 (PBE-GGA)

Data for an optimized crystal structure of Tb2NdRh2.

Geometry as CIF:
```
data_Tb2NdRh2
_chemical_formula_sum 'Tb4 Nd2 Rh4'
_space_group_name_H-M_alt 'C 1 2/m 1'
_space_group_IT_number 12
_space_group_name_Hall '-C 2y'
_cell_length_a 6.421
_cell_length_b 6.419
_cell_length_c 6.657
_cell_angle_alpha 90.00
_cell_angle_beta 114.30
_cell_angle_gamma 90.00
loop_
_atom_site_label
_atom_site_type_symbol
_atom_site_fract_x
_atom_site_fract_y
_atom_site_fract_z
Tb1 Tb 0.000 0.246 0.000
Nd1 Nd 0.000 0.500 0.500
Rh1 Rh 0.134 0.000 0.712
```

Energy (eV per cell): -62.72
M_tot (Bohr magnetons per cell): 0.00
Energy relative to the lowest polymorph listed for this composition (meV per atom): 51

---

2.
## Na2CaSiN (PBE-GGA)

Data for an optimized crystal structure of Na2CaSiN.

Geometry as CIF:
```
data_Na2CaSiN
_chemical_formula_sum 'Na2 Ca1 Si1 N1'
_space_group_name_H-M_alt 'P 4/m m m'
_space_group_IT_number 123
_space_group_name_Hall '-P 4 2'
_cell_length_a 6.360
_cell_length_b 6.360
_cell_length_c 3.457
_cell_angle_alpha 90.00
_cell_angle_beta 90.00
_cell_angle_gamma 90.00
loop_
_atom_site_label
_atom_site_type_symbol
_atom_site_fract_x
_atom_site_fract_y
_atom_site_fract_z
Na1 Na 0.000 0.500 0.000
Ca1 Ca 0.000 0.000 0.500
Si1 Si 0.500 0.500 0.000
N1 N 0.500 0.500 0.500
```

Energy (eV per cell): -16.25
M_tot (Bohr magnetons per cell): 0.00
ΔE_f (raw) (eV/f.u.): 2.1

---

3.
## AlAs2Br (PBE-GGA)

Data for an optimized crystal structure of AlAs2Br.

Geometry as CIF:
```
data_AlAs2Br
_chemical_formula_sum 'Al2 As4 Br2'
_space_group_name_H-M_alt 'C 1 m 1'
_space_group_IT_number 8
_space_group_name_Hall 'C -2y'
_cell_length_a 13.047
_cell_length_b 3.735
_cell_length_c 4.427
_cell_angle_alpha 90.00
_cell_angle_beta 90.64
_cell_angle_gamma 90.00
loop_
_atom_site_label
_atom_site_type_symbol
_atom_site_fract_x
_atom_site_fract_y
_atom_site_fract_z
Al1 Al 0.000 0.000 0.000
As1 As 0.013 0.500 0.427
As2 As 0.382 0.500 0.554
Br1 Br 0.180 0.000 0.980
```

Energy (eV per cell): -31.21
M_tot (Bohr magnetons per cell): 0.00
ΔE_f (raw) (eV/f.u.): -0.9
Energy relative to the lowest polymorph listed for this composition (meV per atom): 0

---

4.
## PuThAgSb (PBE-GGA)

Data for an optimized crystal structure of PuThAgSb.

Geometry as CIF:
```
data_PuThAgSb
_chemical_formula_sum 'Pu4 Th4 Ag4 Sb4'
_space_group_name_H-M_alt 'F -4 3 m'
_space_group_IT_number 216
_space_group_name_Hall 'F -4 2 3'
_cell_length_a 7.558
_cell_length_b 7.558
_cell_length_c 7.558
_cell_angle_alpha 90.00
_cell_angle_beta 90.00
_cell_angle_gamma 90.00
loop_
_atom_site_label
_atom_site_type_symbol
_atom_site_fract_x
_atom_site_fract_y
_atom_site_fract_z
Pu1 Pu 0.000 0.000 0.000
Th1 Th 0.000 0.000 0.500
Ag1 Ag 0.250 0.250 0.750
Sb1 Sb 0.250 0.250 0.250
```

Energy (eV per cell): -119.59
M_tot (Bohr magnetons per cell): 29.11
ΔE_f (raw) (eV/f.u.): -1.2

---

5.
## Tb2PuSn (PBE-GGA)

Data for an optimized crystal structure of Tb2PuSn.

Geometry as CIF:
```
data_Tb2PuSn
_chemical_formula_sum 'Tb2 Pu1 Sn1'
_space_group_name_H-M_alt 'P 4/m m m'
_space_group_IT_number 123
_space_group_name_Hall '-P 4 2'
_cell_length_a 3.962
_cell_length_b 3.962
_cell_length_c 7.167
_cell_angle_alpha 90.00
_cell_angle_beta 90.00
_cell_angle_gamma 90.00
loop_
_atom_site_label
_atom_site_type_symbol
_atom_site_fract_x
_atom_site_fract_y
_atom_site_fract_z
Tb1 Tb 0.000 0.000 0.230
Pu1 Pu 0.500 0.500 0.500
Sn1 Sn 0.500 0.500 0.000
```

Energy (eV per cell): -28.43
M_tot (Bohr magnetons per cell): 6.65
Energy relative to the lowest polymorph listed for this composition (meV per atom): 112

---

6.
## SmGdCo2 (PBE-GGA)

Data for an optimized crystal structure of SmGdCo2.

Geometry as CIF:
```
data_SmGdCo2
_chemical_formula_sum 'Sm4 Gd4 Co8'
_space_group_name_H-M_alt 'F m -3 m'
_space_group_IT_number 225
_space_group_name_Hall '-F 4 2 3'
_cell_length_a 6.796
_cell_length_b 6.796
_cell_length_c 6.796
_cell_angle_alpha 90.00
_cell_angle_beta 90.00
_cell_angle_gamma 90.00
loop_
_atom_site_label
_atom_site_type_symbol
_atom_site_fract_x
_atom_site_fract_y
_atom_site_fract_z
Sm1 Sm 0.000 0.000 0.000
Gd1 Gd 0.000 0.000 0.500
Co1 Co 0.250 0.250 0.250
```

Energy (eV per cell): -133.05
M_tot (Bohr magnetons per cell): 25.00
Energy relative to the lowest polymorph listed for this composition (meV per atom): 0

---

7.
## SrSc3 (PBE-GGA)

Data for an optimized crystal structure of SrSc3.

Geometry as CIF:
```
data_SrSc3
_chemical_formula_sum 'Sr4 Sc12'
_space_group_name_H-M_alt 'F m -3 m'
_space_group_IT_number 225
_space_group_name_Hall '-F 4 2 3'
_cell_length_a 7.753
_cell_length_b 7.753
_cell_length_c 7.753
_cell_angle_alpha 90.00
_cell_angle_beta 90.00
_cell_angle_gamma 90.00
loop_
_atom_site_label
_atom_site_type_symbol
_atom_site_fract_x
_atom_site_fract_y
_atom_site_fract_z
Sr1 Sr 0.000 0.000 0.000
Sc1 Sc 0.000 0.000 0.500
Sc2 Sc 0.250 0.250 0.250
```

Energy (eV per cell): -77.06
M_tot (Bohr magnetons per cell): 3.19

---

8.
## CaPr2ZrP4 (PBE-GGA)

Data for an optimized crystal structure of CaPr2ZrP4.

Geometry as CIF:
```
data_CaPr2ZrP4
_chemical_formula_sum 'Ca1 Pr2 Zr1 P4'
_space_group_name_H-M_alt 'P 1 2/m 1'
_space_group_IT_number 10
_space_group_name_Hall '-P 2y'
_cell_length_a 6.967
_cell_length_b 4.054
_cell_length_c 7.074
_cell_angle_alpha 90.00
_cell_angle_beta 109.20
_cell_angle_gamma 90.00
loop_
_atom_site_label
_atom_site_type_symbol
_atom_site_fract_x
_atom_site_fract_y
_atom_site_fract_z
Ca1 Ca 0.000 0.000 0.000
Pr1 Pr 0.500 0.000 0.500
Pr2 Pr 0.500 0.500 0.000
Zr1 Zr 0.000 0.500 0.500
P1 P 0.228 0.000 0.732
P2 P 0.235 0.500 0.260
```

Energy (eV per cell): -52.41
M_tot (Bohr magnetons per cell): 0.00

---

> Number 7 is which compound?

SrSc3